No. 1
Material: Pm8Ir5S
Method: DFT, GGA-PBE
State: relaxed

a b c (Å): 7.663 7.663 7.663
angles (deg): 109.48 109.48 109.46
Fractional coordinates of all 14 atoms:
Pm (0.250, 0.499, 0.123)
Pm (0.376, 0.127, 0.877)
Pm (0.379, 0.131, 0.370)
Pm (0.501, 0.624, 0.751)
Pm (0.761, 0.009, 0.630)
Pm (0.869, 0.239, 0.248)
Pm (0.873, 0.750, 0.249)
Pm (0.991, 0.621, 0.752)
Ir (0.000, 0.000, 0.000)
Ir (0.133, 0.258, 0.634)
Ir (0.502, 0.867, 0.125)
Ir (0.623, 0.498, 0.366)
Ir (0.742, 0.377, 0.875)
S (0.250, 0.750, 0.500)

Computed properties:
The value obtained for the total DFT energy (no corrections) is -6.97 eV/atom. The value obtained for the total moment is 0.0 μB per cell. The symmetry is I-4, No. 82. The formation energy (no corrections) is -76.4 kJ/mol of atoms. Its crystal system is tetragonal.

=====

No. 2
Material: Pm4IrS3
Method: DFT, GGA-PBE
State: relaxed

a b c (Å): 7.131 7.131 4.032
angles (deg): 90.00 90.00 108.98
Fractional coordinates of all 8 atoms:
Pm (0.241, 0.241, 0.500)
Pm (0.247, 0.753, 0.000)
Pm (0.753, 0.247, 0.000)
Pm (0.759, 0.759, 0.500)
Ir (0.000, 0.000, 0.000)
S (0.000, 0.500, 0.500)
S (0.500, 0.000, 0.500)
S (0.500, 0.500, 0.000)

Computed properties:
The value obtained for the total DFT energy (no corrections) is -6.68 eV/atom. The value obtained for the total moment is 0.0 μB per cell. The symmetry is Cmmm, No. 65. The formation energy (no corrections) is -159.6 kJ/mol of atoms. Its crystal system is orthorhombic.

=====

No. 3
Material: Pm3IrS
Method: DFT, GGA-PBE
State: relaxed

a b c (Å): 8.374 3.864 8.633
angles (deg): 90.00 103.58 90.00
Fractional coordinates of all 10 atoms:
Pm (0.004, 0.250, 0.188)
Pm (0.302, 0.750, 0.585)
Pm (0.378, 0.750, 0.107)
Pm (0.622, 0.250, 0.893)
Pm (0.698, 0.250, 0.415)
Pm (0.996, 0.750, 0.812)
Ir (0.262, 0.250, 0.841)
Ir (0.738, 0.750, 0.159)
S (0.347, 0.250, 0.350)
S (0.653, 0.750, 0.650)

Computed properties:
The value obtained for the total DFT energy (no corrections) is -6.52 eV/atom. The value obtained for the total moment is 0.0 μB per cell. The symmetry is P2_1/m, No. 11. The formation energy (no corrections) is -103.3 kJ/mol of atoms. Its crystal system is monoclinic.

=====

No. 4
Material: Pm6IrS5
Method: DFT, GGA-PBE
State: relaxed

a b c (Å): 7.059 7.059 7.039
angles (deg): 99.64 99.64 119.86
Fractional coordinates of all 12 atoms:
Pm (0.081, 0.410, 0.246)
Pm (0.247, 0.247, 0.752)
Pm (0.410, 0.081, 0.246)
Pm (0.590, 0.919, 0.754)
Pm (0.753, 0.753, 0.248)
Pm (0.919, 0.590, 0.754)
Ir (0.000, 0.000, 0.000)
S (0.170, 0.830, 0.500)
S (0.334, 0.666, 0.000)
S (0.500, 0.500, 0.500)
S (0.666, 0.334, 0.000)
S (0.830, 0.170, 0.500)

Computed properties:
The value obtained for the total DFT energy (no corrections) is -6.63 eV/atom. The value obtained for the total moment is 0.0 μB per cell. The symmetry is C2/m, No. 12. The formation energy (no corrections) is -173.7 kJ/mol of atoms. Its crystal system is monoclinic.

=====

No. 5
Material: Pm6IrSe3S2
Method: DFT, GGA-PBE
State: relaxed

a b c (Å): 9.348 9.348 8.398
angles (deg): 103.48 103.48 25.29
Fractional coordinates of all 12 atoms:
Pm (0.003, 0.003, 0.233)
Pm (0.330, 0.330, 0.428)
Pm (0.337, 0.337, 0.909)
Pm (0.663, 0.663, 0.091)
Pm (0.670, 0.670, 0.572)
Pm (0.997, 0.997, 0.767)
Ir (0.500, 0.500, 0.000)
Se (0.169, 0.169, 0.830)
Se (0.500, 0.500, 0.500)
Se (0.831, 0.831, 0.170)
S (0.168, 0.168, 0.335)
S (0.832, 0.832, 0.665)

Computed properties:
The value obtained for the total DFT energy (no corrections) is -6.39 eV/atom. The value obtained for the total moment is 0.0 μB per cell. The symmetry is C2/m, No. 12. The formation energy (no corrections) is -165.5 kJ/mol of atoms. Its crystal system is monoclinic.

=====

No. 6
Material: Pm6Te3Ir2S
Method: DFT, GGA-PBE
State: relaxed

a b c (Å): 9.829 9.829 8.869
angles (deg): 106.41 106.41 24.77
Fractional coordinates of all 12 atoms:
Pm (0.014, 0.014, 0.239)
Pm (0.325, 0.325, 0.436)
Pm (0.335, 0.335, 0.879)
Pm (0.665, 0.665, 0.121)
Pm (0.675, 0.675, 0.564)
Pm (0.986, 0.986, 0.761)
Te (0.161, 0.161, 0.842)
Te (0.500, 0.500, 0.500)
Te (0.839, 0.839, 0.158)
Ir (0.167, 0.167, 0.337)
Ir (0.833, 0.833, 0.663)
S (0.500, 0.500, 0.000)

Computed properties:
The value obtained for the total DFT energy (no corrections) is -6.26 eV/atom. The value obtained for the total moment is 0.0 μB per cell. The symmetry is C2/m, No. 12. The formation energy (no corrections) is -123.5 kJ/mol of atoms. Its crystal system is monoclinic.

=====

No. 7
Material: PmThIrS
Method: DFT, GGA-PBE
State: relaxed

a b c (Å): 7.672 7.672 7.672
angles (deg): 30.52 30.52 30.52
Fractional coordinates of all 4 atoms:
Pm (0.000, 0.000, 0.000)
Th (0.183, 0.183, 0.183)
Ir (0.587, 0.587, 0.587)
S (0.759, 0.759, 0.759)

Computed properties:
The value obtained for the total DFT energy (no corrections) is -7.58 eV/atom. The value obtained for the total moment is 0.0 μB per cell. The symmetry is R3m, No. 160. The formation energy (no corrections) is -124.2 kJ/mol of atoms. Its crystal system is trigonal.

=====

No. 8
Material: Pm6Sb3Ir
Method: DFT, GGA-PBE
State: relaxed

a b c (Å): 9.443 9.443 7.595
angles (deg): 90.00 90.00 104.07
Fractional coordinates of all 20 atoms:
Pm (0.002, 0.998, 0.500)
Pm (0.099, 0.588, 0.919)
Pm (0.244, 0.756, 0.431)
Pm (0.294, 0.366, 0.410)
Pm (0.366, 0.294, 0.910)
Pm (0.412, 0.901, 0.919)
Pm (0.588, 0.099, 0.419)
Pm (0.634, 0.706, 0.410)
Pm (0.706, 0.634, 0.910)
Pm (0.756, 0.244, 0.931)
Pm (0.901, 0.412, 0.419)
Pm (0.998, 0.002, 0.000)
Sb (0.070, 0.291, 0.726)
Sb (0.291, 0.070, 0.226)
Sb (0.399, 0.601, 0.112)
Sb (0.601, 0.399, 0.612)
Sb (0.709, 0.930, 0.726)
Sb (0.930, 0.709, 0.226)
Ir (0.145, 0.855, 0.743)
Ir (0.855, 0.145, 0.243)

Computed properties:
The value obtained for the total DFT energy (no corrections) is -5.66 eV/atom. The value obtained for the total moment is 1.5 μB per cell. The symmetry is Cmc2_1, No. 36. The formation energy (no corrections) is -66.1 kJ/mol of atoms. Its crystal system is orthorhombic.

=====

No. 9
Material: Pm5SbIr2
Method: DFT, GGA-PBE
State: relaxed

a b c (Å): 8.856 8.856 8.856
angles (deg): 126.18 126.18 79.59
Fractional coordinates of all 16 atoms:
Pm (0.000, 0.000, 0.000)
Pm (0.024, 0.524, 0.817)
Pm (0.207, 0.024, 0.500)
Pm (0.293, 0.793, 0.817)
Pm (0.476, 0.293, 0.500)
Pm (0.500, 0.500, 0.000)
Pm (0.524, 0.707, 0.500)
Pm (0.707, 0.207, 0.183)
Pm (0.793, 0.976, 0.500)
Pm (0.976, 0.476, 0.183)
Sb (0.250, 0.250, 0.000)
Sb (0.750, 0.750, 0.000)
Ir (0.139, 0.361, 0.500)
Ir (0.361, 0.861, 0.222)
Ir (0.639, 0.139, 0.778)
Ir (0.861, 0.639, 0.500)

Computed properties:
The value obtained for the total DFT energy (no corrections) is -6.45 eV/atom. The value obtained for the total moment is 0.0 μB per cell. The symmetry is I4/mcm, No. 140. The formation energy (no corrections) is -72.0 kJ/mol of atoms. Its crystal system is tetragonal.

=====

No. 10
Material: Pm4SbIr
Method: DFT, GGA-PBE
State: relaxed

a b c (Å): 8.308 8.308 6.160
angles (deg): 103.22 103.22 114.00
Fractional coordinates of all 12 atoms:
Pm (0.064, 0.709, 0.928)
Pm (0.213, 0.353, 0.667)
Pm (0.291, 0.936, 0.572)
Pm (0.353, 0.213, 0.167)
Pm (0.647, 0.787, 0.833)
Pm (0.709, 0.064, 0.428)
Pm (0.787, 0.647, 0.333)
Pm (0.936, 0.291, 0.072)
Sb (0.375, 0.625, 0.250)
Sb (0.625, 0.375, 0.750)
Ir (0.000, 0.000, 0.250)
Ir (0.000, 0.000, 0.750)

Computed properties:
The value obtained for the total DFT energy (no corrections) is -5.98 eV/atom. The value obtained for the total moment is 0.0 μB per cell. The symmetry is C2/c, No. 15. The formation energy (no corrections) is -62.3 kJ/mol of atoms. Its crystal system is monoclinic. Its energy above the lowest structure with this stoichiometry is 22 meV/atom.

=====

No. 11
Material: Pm8Sb2Ir
Method: DFT, GGA-PBE
State: relaxed

a b c (Å): 9.878 9.878 7.623
angles (deg): 98.23 98.23 27.49
Fractional coordinates of all 11 atoms:
Pm (0.005, 0.005, 0.280)
Pm (0.215, 0.215, 0.850)
Pm (0.353, 0.353, 0.472)
Pm (0.404, 0.404, 0.987)
Pm (0.596, 0.596, 0.013)
Pm (0.647, 0.647, 0.528)
Pm (0.785, 0.785, 0.150)
Pm (0.995, 0.995, 0.720)
Sb (0.182, 0.182, 0.266)
Sb (0.818, 0.818, 0.734)
Ir (0.500, 0.500, 0.500)

Computed properties:
The value obtained for the total DFT energy (no corrections) is -5.55 eV/atom. The value obtained for the total moment is 0.0 μB per cell. The symmetry is C2/m, No. 12. The formation energy (no corrections) is -52.2 kJ/mol of atoms. Its crystal system is monoclinic.

=====

No. 12
Material: PmSb2Ir
Method: DFT, GGA-PBE
State: relaxed

a b c (Å): 10.650 10.650 10.650
angles (deg): 17.68 17.68 17.68
Fractional coordinates of all 4 atoms:
Pm (0.000, 0.000, 0.000)
Sb (0.419, 0.419, 0.419)
Sb (0.581, 0.581, 0.581)
Ir (0.500, 0.500, 0.500)

Computed properties:
The value obtained for the total DFT energy (no corrections) is -5.29 eV/atom. The value obtained for the total moment is 0.0 μB per cell. The symmetry is R-3m, No. 166. The formation energy (no corrections) is 16.7 kJ/mol of atoms. Its crystal system is trigonal. Its energy above the lowest structure with this stoichiometry is 483 meV/atom.

=====

Respective mass density values: 10.32, 7.44, 8.06, 7.08, 7.44, 8.07, 9.67, 7.22, 9.35, 8.42, 7.80, 9.91 g/cm³.